Record 1
LiMnCdP2 | PBE | optimized geometry

Output
- Density of states at the Fermi level: 2.86 states/eV per cell
- DFT formation energy: 0.64 eV per atom
- Magnetic moment: 4.0 Bohr magnetons per cell

Cell and atoms, written as CIF:
```
data_LiMnCdP2
_chemical_formula_sum 'Li1 Mn1 Cd1 P2'
_cell_length_a 4.417
_cell_length_b 4.417
_cell_length_c 4.477
_cell_angle_alpha 90.00
_cell_angle_beta 90.00
_cell_angle_gamma 90.00
_space_group_name_H-M_alt 'P 4/m m m'
_space_group_IT_number 123
_space_group_name_Hall '-P 4 2'
loop_
_atom_site_label
_atom_site_fract_x
_atom_site_fract_y
_atom_site_fract_z
_atom_site_occupancy
Li1 0.000 0.000 0.000 1
Mn1 0.000 0.000 0.500 1
Cd1 0.500 0.500 0.500 1
P1 0.000 0.500 0.000 1
```

=====

Record 2
LiMnCdPb | PBE | optimized geometry

Output
- Density of states at the Fermi level: 6.68 states/eV per cell
- DFT formation energy: 0.05 eV per atom
- Magnetic moment: 15.2 Bohr magnetons per cell

Cell and atoms, written as CIF:
```
data_LiMnCdPb
_chemical_formula_sum 'Li4 Mn4 Cd4 Pb4'
_cell_length_a 6.806
_cell_length_b 6.806
_cell_length_c 6.806
_cell_angle_alpha 90.00
_cell_angle_beta 90.00
_cell_angle_gamma 90.00
_space_group_name_H-M_alt 'F -4 3 m'
_space_group_IT_number 216
_space_group_name_Hall 'F -4 2 3'
loop_
_atom_site_label
_atom_site_fract_x
_atom_site_fract_y
_atom_site_fract_z
_atom_site_occupancy
Li1 0.000 0.000 0.000 1
Mn1 0.000 0.000 0.500 1
Cd1 0.250 0.250 0.750 1
Pb1 0.250 0.250 0.250 1
```